[1]
Below is crystalline La2ZrMn2 at its relaxed geometry, with properties calculated at the GGA-PBE level.

a = 7.068 Å, b = 7.068 Å, c = 4.705 Å
α = 90.00°, β = 90.00°, γ = 90.00°
Atoms (fractional coordinates):
1 La 0.184 0.316 0.000
2 La 0.316 0.816 0.000
3 La 0.684 0.184 0.000
4 La 0.816 0.684 0.000
5 Zr 0.000 0.000 0.500
6 Zr 0.500 0.500 0.500
7 Mn 0.108 0.608 0.500
8 Mn 0.392 0.108 0.500
9 Mn 0.608 0.892 0.500
10 Mn 0.892 0.392 0.500

ΔE_f = 0.31 eV/atom
E = -7.039 eV/atom

[2]
Below is crystalline LaZr2Mn at its relaxed geometry, with properties calculated at the GGA-PBE level.

a = 3.258 Å, b = 3.258 Å, c = 8.459 Å
α = 90.00°, β = 90.00°, γ = 90.40°
Atoms (fractional coordinates):
1 La 0.000 0.000 0.000
2 Zr 0.500 0.500 0.321
3 Zr 0.500 0.500 0.679
4 Mn 0.000 0.000 0.500

ΔE_f = 0.09 eV/atom
E = -7.709 eV/atom

[3]
Below is crystalline LaZr2Mn at its relaxed geometry, with properties calculated at the GGA-PBE level.

a = 5.102 Å, b = 5.102 Å, c = 5.102 Å
α = 60.00°, β = 60.00°, γ = 60.00°
Atoms (fractional coordinates):
1 La 0.000 0.000 0.000
2 Zr 0.250 0.250 0.250
3 Zr 0.500 0.500 0.500
4 Mn 0.750 0.750 0.750

ΔE_f = 0.35 eV/atom
E = -7.452 eV/atom

[4]
Below is crystalline La2ZrMn at its relaxed geometry, with properties calculated at the GGA-PBE level.

a = 9.898 Å, b = 9.898 Å, c = 9.898 Å
α = 20.92°, β = 20.92°, γ = 20.92°
Atoms (fractional coordinates):
1 La 0.000 0.000 0.000
2 La 0.220 0.220 0.220
3 Zr 0.762 0.762 0.762
4 Mn 0.485 0.485 0.485

ΔE_f = 0.32 eV/atom
E = -6.578 eV/atom

[5]
Below is crystalline La2ZrMn at its relaxed geometry, with properties calculated at the GGA-PBE level.

a = 6.280 Å, b = 6.280 Å, c = 6.280 Å
α = 145.39°, β = 129.00°, γ = 63.11°
Atoms (fractional coordinates):
1 La 0.000 0.000 0.000
2 La 0.717 0.217 0.500
3 Zr 0.426 0.426 0.000
4 Mn 0.249 0.749 0.500

ΔE_f = 0.23 eV/atom
E = -6.661 eV/atom

[6]
Below is crystalline LaZr2Mn at its relaxed geometry, with properties calculated at the GGA-PBE level.

a = 4.893 Å, b = 4.893 Å, c = 4.893 Å
α = 60.00°, β = 60.00°, γ = 60.00°
Atoms (fractional coordinates):
1 La 0.000 0.000 0.000
2 Zr 0.250 0.250 0.250
3 Zr 0.750 0.750 0.750
4 Mn 0.500 0.500 0.500

ΔE_f = 0.43 eV/atom
E = -7.371 eV/atom

[7]
Below is crystalline LaZrMn at its relaxed geometry, with properties calculated at the GGA-PBE level.

a = 6.794 Å, b = 6.794 Å, c = 6.794 Å
α = 151.96°, β = 151.96°, γ = 40.07°
Atoms (fractional coordinates):
1 La 0.000 0.000 0.000
2 Zr 0.257 0.257 0.000
3 Mn 0.653 0.653 0.000

ΔE_f = 0.23 eV/atom
E = -7.313 eV/atom

[8]
Below is crystalline La2ZrMn at its relaxed geometry, with properties calculated at the GGA-PBE level.

a = 10.471 Å, b = 10.471 Å, c = 10.471 Å
α = 19.13°, β = 19.13°, γ = 19.13°
Atoms (fractional coordinates):
1 La 0.244 0.244 0.244
2 La 0.756 0.756 0.756
3 Zr 0.000 0.000 0.000
4 Mn 0.500 0.500 0.500

ΔE_f = 0.38 eV/atom
E = -6.515 eV/atom

- Among the records above, which one has the lowest ΔE_f?
  number 2

- Look up the E of the fifth one.
  -6.661 eV/atom

- Which formula does entry 2 have?
  LaZr2Mn